(1)
First-principles (PBE) data for an optimized crystal structure of NaAcPt, as listed in Alexandria.

Results
- raw total energy (eV/f.u.) = -12.9
- DOS at the Fermi energy (states/eV/atom) = 0.633
- volume (A^3/atom) = 39.08
- magnetic moment (Bohr magnetons per cell) = 0.00
- polymorph energy (0 for the lowest one) (meV/atom) = 115

Cell: 5.0994 5.0994 10.4132 Å, 90.00 90.00 120.00°
Space group P-3m1 (No. 164)
One atom of each set of equivalent atoms:
Na  0.0000  0.0000  0.1667 [2 per cell]
Ac  0.3333  0.6667  0.6177 [2 per cell]
Pt  0.3333  0.6667  0.3245 [2 per cell]

(2)
First-principles (PBE) data for an optimized crystal structure of Cd2TeP, as listed in Alexandria.

Results
- raw total energy (eV/f.u.) = -8.8
- DOS at the Fermi energy (states/eV/atom) = 0.595
- volume (A^3/atom) = 23.03
- uncorrected formation energy (kcal/mol of atoms) = 9.00
- magnetic moment (Bohr magnetons per cell) = 0.00
- polymorph energy (0 for the lowest one) (meV/atom) = 456

Cell: 7.1695 7.1695 7.1695 Å, 90.00 90.00 90.00°
Space group F-43m (No. 216)
One atom of each set of equivalent atoms:
Cd  0.0000  0.0000  0.0000 [4 per cell]
Cd  0.2500  0.2500  0.2500 [4 per cell]
Te  0.0000  0.0000  0.5000 [4 per cell]
P  0.2500  0.2500  0.7500 [4 per cell]

(3)
First-principles (PBE) data for an optimized crystal structure of SrSCl2F, as listed in Alexandria.

Results
- raw total energy (eV/f.u.) = -16.6
- DOS at the Fermi energy (states/eV/atom) = 0.446
- volume (A^3/atom) = 22.40
- uncorrected formation energy (kcal/mol of atoms) = -24.07
- magnetic moment (Bohr magnetons per cell) = 0.99
- polymorph energy (0 for the lowest one) (meV/atom) = 0

Cell: 5.4290 5.4290 3.8001 Å, 90.00 90.00 90.00°
Space group P4/mmm (No. 123)
One atom of each set of equivalent atoms:
Sr  0.0000  0.0000  0.0000 [1 per cell]
S  0.5000  0.5000  0.0000 [1 per cell]
Cl  0.0000  0.5000  0.5000 [2 per cell]
F  0.5000  0.5000  0.5000 [1 per cell]

(4)
First-principles (PBE) data for an optimized crystal structure of Tl2InAsSe4, as listed in Alexandria.

Results
- raw total energy (eV/f.u.) = -28.6
- DOS at the Fermi energy (states/eV/atom) = 0.102
- volume (A^3/atom) = 26.78
- uncorrected formation energy (kcal/mol of atoms) = -7.45
- magnetic moment (Bohr magnetons per cell) = 0.00

Cell: 8.4361 8.4830 11.9745 Å, 90.00 90.00 90.00°
Space group Imma (No. 74)
One atom of each set of equivalent atoms:
Tl  0.0000  0.0000  0.0000 [4 per cell]
Tl  0.2500  0.2500  0.2500 [4 per cell]
In  0.2500  0.2500  0.7500 [4 per cell]
As  0.0000  0.0000  0.5000 [4 per cell]
Se  0.0000  0.0273  0.7343 [8 per cell]
Se  0.2183  0.2500  0.5132 [8 per cell]

(5)
First-principles (PBE) data for an optimized crystal structure of CeTiAg2, as listed in Alexandria.

Results
- raw total energy (eV/f.u.) = -19.4
- DOS at the Fermi energy (states/eV/atom) = 1.751
- volume (A^3/atom) = 20.06
- magnetic moment (Bohr magnetons per cell) = 1.32

Cell: 3.0265 3.0265 8.7584 Å, 90.00 90.00 90.00°
Space group P4/mmm (No. 123)
One atom of each set of equivalent atoms:
Ce  0.0000  0.0000  0.0000 [1 per cell]
Ti  0.0000  0.0000  0.5000 [1 per cell]
Ag  0.5000  0.5000  0.2812 [2 per cell]

(6)
First-principles (PBE) data for an optimized crystal structure of KBa2Eu, as listed in Alexandria.

Results
- raw total energy (eV/f.u.) = -14.9
- DOS at the Fermi energy (states/eV/atom) = 1.561
- volume (A^3/atom) = 60.28
- magnetic moment (Bohr magnetons per cell) = 8.45
- polymorph energy (0 for the lowest one) (meV/atom) = 0

Cell: 4.3292 4.3292 12.8641 Å, 90.00 90.00 90.00°
Space group P4/mmm (No. 123)
One atom of each set of equivalent atoms:
K  0.0000  0.0000  0.0000 [1 per cell]
Ba  0.5000  0.5000  0.2761 [2 per cell]
Eu  0.0000  0.0000  0.5000 [1 per cell]

(7)
First-principles (PBE) data for an optimized crystal structure of Li2AgIr, as listed in Alexandria.

Results
- raw total energy (eV/f.u.) = -15.2
- DOS at the Fermi energy (states/eV/atom) = 0.334
- volume (A^3/atom) = 14.40
- magnetic moment (Bohr magnetons per cell) = 0.00

Cell: 3.7244 3.7244 8.3050 Å, 90.00 90.00 90.00°
Space group I-4m2 (No. 119)
One atom of each set of equivalent atoms:
Li  0.0000  0.0000  0.0000 [2 per cell]
Li  0.0000  0.5000  0.2500 [2 per cell]
Ag  0.0000  0.5000  0.7500 [2 per cell]
Ir  0.0000  0.0000  0.5000 [2 per cell]

(8)
First-principles (PBE) data for an optimized crystal structure of MgIr2Rh2, as listed in Alexandria.

Results
- raw total energy (eV/f.u.) = -33.4
- DOS at the Fermi energy (states/eV/atom) = 0.946
- volume (A^3/atom) = 17.92
- magnetic moment (Bohr magnetons per cell) = 0.00
- polymorph energy (0 for the lowest one) (meV/atom) = 116

Cell: 5.2109 7.6612 8.9797 Å, 90.00 90.00 90.00°
Space group Fmmm (No. 69)
One atom of each set of equivalent atoms:
Mg  0.0000  0.0000  0.0000 [4 per cell]
Ir  0.0000  0.0000  0.3693 [8 per cell]
Rh  0.2500  0.2500  0.2500 [8 per cell]